Entry from Alexandria via LeMat-Bulk: a geometry-optimized NaTe2W structure (PBE).

It has space group R-3m (No. 166, hexagonal axes), with a = 3.2037 Å, b = 3.2037 Å, c = 31.9701 Å, α = 90.00°, β = 90.00° and γ = 120.00°. The inequivalent atoms are Na at (0.0000, 0.0000, 0.0000), Te at (0.0000, 0.0000, 0.4154) and W at (0.0000, 0.0000, 0.5000).

Its crystal system is trigonal. The uncorrected formation energy is 0.65 eV/atom. Its theoretical density is 8.10 Mg/m³. Its total moment is 0.000 Bohr magnetons per cell. The distance to the lowest polymorph of the same formula comes out at 0.579 eV/atom.